[1]
## GaIr2RuC (PBE)

Data for GaIr2RuC after structural relaxation.

Structure (extended XYZ):
```
5
Lattice="-2.3756 4.1983 0.7191 -2.4533 -1.7709 2.2344 2.8326 0.9422 3.8568" Properties=species:S:1:pos:R:3 pbc="T T T"
Ga -0.9982 1.6848 3.4052
Ir 1.4163 0.4711 1.9284
Ir -1.1878 2.0992 0.3595
C -1.2267 -0.8855 1.1172
Ru 0.0000 0.0000 0.0000
```

- Energy of formation from the pure elements: 156 kJ per mole of atoms
- Space-group type: P4/mmm (123)

[2]
## GaIrCS2 (PBE)

Data for GaIrCS2 after structural relaxation.

Structure (extended XYZ):
```
5
Lattice="4.5994 0.0000 0.0000 0.0000 4.7810 0.0000 0.0000 0.0000 4.5994" Properties=species:S:1:pos:R:3 pbc="T T T"
S 0.0000 0.0000 2.2997
S 2.2997 0.0000 0.0000
Ga 0.0000 0.0000 0.0000
Ir 0.0000 2.3905 0.0000
C 2.2997 2.3905 2.2997
```

- Space-group type: P4/mmm (123)
- Formation energy without anion corrections: 2319 meV per atom

[3]
## Sc2GaIrC (PBE)

Data for Sc2GaIrC after structural relaxation.

Structure (extended XYZ):
```
5
Lattice="-1.0978 0.8190 -4.3127 -3.7978 -2.4067 0.5096 -1.9235 3.2706 1.1107" Properties=species:S:1:pos:R:3 pbc="T T T"
Ir -0.9618 1.6353 0.5554
Sc -0.5489 0.4095 -2.1564
Sc -1.8989 -1.2034 0.2548
C 0.0000 0.0000 0.0000
Ga -3.4096 0.8414 -1.3462
```

- Energy of formation from the pure elements: -55 kJ per mole of atoms
- Space-group type: P4/mmm (123)

[4]
## GaSiIrC2 (PBE)

Data for GaSiIrC2 after structural relaxation.

Structure (extended XYZ):
```
5
Lattice="-3.0437 2.0481 0.1631 -1.8190 -2.9850 3.5395 1.5551 2.1060 2.5753" Properties=species:S:1:pos:R:3 pbc="T T T"
Ir -0.9095 -1.4925 1.7698
C -1.5219 1.0241 0.0815
C 0.7776 1.0530 1.2876
Ga -1.6538 0.5846 3.1389
Si 0.0000 0.0000 0.0000
```

- Space-group type: P4/mmm (123)
- Formation energy without anion corrections: 1401 meV per atom

[5]
## SrGaIr2C (PBE)

Data for SrGaIr2C after structural relaxation.

Structure (extended XYZ):
```
5
Lattice="-2.3532 3.2631 3.1753 -3.4035 -4.3370 1.9347 3.4376 -1.0705 3.6476" Properties=species:S:1:pos:R:3 pbc="T T T"
Ir -1.1766 1.6316 1.5877
Ir 1.7188 -0.5353 1.8238
Sr 0.0000 0.0000 0.0000
C -1.1595 -1.0722 4.3788
Ga -1.7017 -2.1685 0.9673
```

- Energy of formation from the pure elements: 323 kJ per mole of atoms
- Space-group type: P4/mmm (123)

[6]
## TaGaIrC2 (PBE)

Data for TaGaIrC2 after structural relaxation.

Structure (extended XYZ):
```
5
Lattice="3.8379 0.0000 0.0000 0.0000 5.2407 0.0000 0.0000 0.0000 3.8379" Properties=species:S:1:pos:R:3 pbc="T T T"
C 0.0000 0.0000 1.9190
C 1.9190 0.0000 0.0000
Ga 0.0000 0.0000 0.0000
Ir 1.9190 2.6204 1.9190
Ta 0.0000 2.6204 0.0000
```

- Energy of formation from the pure elements: 224 kJ per mole of atoms
- Space-group type: P4/mmm (123)

[7]
## V2GaIrC (PBE)

Data for V2GaIrC after structural relaxation.

Structure (extended XYZ):
```
5
Lattice="-3.3103 1.5307 3.1069 2.0477 -1.3927 2.8679 2.3005 4.1845 0.3895" Properties=species:S:1:pos:R:3 pbc="T T T"
Ga 0.5189 2.1612 3.1821
C 1.0239 -0.6964 1.4340
V 1.1502 2.0922 0.1947
V -1.6551 0.7653 1.5534
Ir 0.0000 0.0000 0.0000
```

- Energy of formation from the pure elements: 108 kJ per mole of atoms
- Space-group type: P4/mmm (123)

[8]
## Y2GaIrC (PBE)

Data for Y2GaIrC after structural relaxation.

Structure (extended XYZ):
```
5
Lattice="-2.5303 -3.8739 -1.8662 4.2874 -2.1072 -1.4388 0.2576 -1.8269 3.4430" Properties=species:S:1:pos:R:3 pbc="T T T"
Ga 1.0073 -3.9040 0.0690
Y -1.2651 -1.9369 -0.9331
Y 2.1437 -1.0536 -0.7194
Ir 0.1288 -0.9134 1.7215
C 0.0000 0.0000 0.0000
```

- Energy of formation from the pure elements: -53 kJ per mole of atoms
- Space-group type: P4/mmm (123)

[9]
## KGa3C (PBE)

Data for KGa3C after structural relaxation.

Structure (extended XYZ):
```
5
Lattice="-2.9646 3.1047 2.0071 -2.8485 -3.5582 1.2967 2.3566 -0.3952 4.0922" Properties=species:S:1:pos:R:3 pbc="T T T"
K -1.7282 -0.4244 3.6980
Ga 1.1783 -0.1976 2.0461
Ga -1.4242 -1.7791 0.6484
Ga -1.4823 1.5523 1.0035
C 0.0000 0.0000 0.0000
```

- Energy of formation from the pure elements: 79 kJ per mole of atoms
- Excess energy over the best structure of this formula in the dataset: 0 meV per atom
- Space-group type: Pm-3m (221)

[10]
## KGa2C (PBE)

Data for KGa2C after structural relaxation.

Structure (extended XYZ):
```
8
Lattice="5.2586 0.0000 0.0000 0.0000 5.2586 0.0000 2.6293 2.6293 6.7721" Properties=species:S:1:pos:R:3 pbc="T T T"
C 2.6293 5.2586 3.3860
C 2.6293 2.6293 0.0000
K 5.2586 2.6293 3.3860
K 0.0000 0.0000 0.0000
Ga 6.5732 5.2586 5.0791
Ga 3.9439 5.2586 5.0791
Ga 2.6293 1.3146 1.6930
Ga 2.6293 3.9439 1.6930
```

- Energy of formation from the pure elements: 74 kJ per mole of atoms
- Space-group type: I4_1/amd (141)

[11]
## KGa3C (PBE)

Data for KGa3C after structural relaxation.

Structure (extended XYZ):
```
5
Lattice="-2.0289 5.4565 -1.3988 -5.5498 -1.6818 1.4892 0.9643 1.8013 5.6278" Properties=species:S:1:pos:R:3 pbc="T T T"
Ga -1.0144 2.7283 -0.6994
Ga -2.7749 -0.8409 0.7446
Ga 0.4821 0.9006 2.8139
C -3.3072 2.7880 2.8591
K 0.0000 0.0000 0.0000
```

- Energy of formation from the pure elements: 222 kJ per mole of atoms
- Excess energy over the best structure of this formula in the dataset: 1476 meV per atom
- Space-group type: Pm-3m (221)

[12]
## KGaC2 (PBE)

Data for KGaC2 after structural relaxation.

Structure (extended XYZ):
```
8
Lattice="-3.6537 2.3934 -1.2141 -2.3474 -3.8441 -0.5139 -4.8802 -0.4154 5.4037" Properties=species:S:1:pos:R:3 pbc="T T T"
C -5.3237 0.1054 3.5332
C -7.1505 1.3022 2.9262
C -4.7104 1.5098 0.2244
C -5.8841 -0.4122 -0.0326
K -5.1140 -2.4925 2.0129
K -3.0005 -0.7254 -0.8640
Ga 0.0000 0.0000 0.0000
Ga -5.7672 0.6263 1.6628
```

- Energy of formation from the pure elements: 142 kJ per mole of atoms
- Space-group type: I4_1/amd (141)

[13]
## KNb2GaC (PBE)

Data for KNb2GaC after structural relaxation.

Structure (extended XYZ):
```
5
Lattice="4.3462 0.0000 0.0000 0.0000 5.1536 0.0000 0.0000 0.0000 4.3462" Properties=species:S:1:pos:R:3 pbc="T T T"
C 0.0000 0.0000 0.0000
Ga 2.1731 2.5768 2.1731
K 0.0000 2.5768 0.0000
Nb 2.1731 0.0000 0.0000
Nb 0.0000 0.0000 2.1731
```

- Energy of formation from the pure elements: 67 kJ per mole of atoms
- Space-group type: P4/mmm (123)

[14]
## K2GaNiC (PBE)

Data for K2GaNiC after structural relaxation.

Structure (extended XYZ):
```
5
Lattice="-1.7239 1.0861 5.9468 1.6750 -3.9626 1.2093 5.5671 2.6955 1.1215" Properties=species:S:1:pos:R:3 pbc="T T T"
C 2.7591 -0.0905 4.1388
Ni 0.8375 -1.9813 0.6046
K 2.7836 1.3477 0.5607
K -0.8619 0.5431 2.9734
Ga 0.0000 0.0000 0.0000
```

- Energy of formation from the pure elements: 137 kJ per mole of atoms
- Space-group type: P4/mmm (123)

[15]
## K2GaPCO7 (PBE)

Data for K2GaPCO7 after structural relaxation.

Structure (extended XYZ):
```
24
Lattice="6.8060 0.0000 0.0000 0.0000 5.4318 -0.1270 0.0000 -0.1170 9.8127" Properties=species:S:1:pos:R:3 pbc="T T T"
K 3.2098 1.2918 7.5641
K 0.1932 1.2918 7.5641
K 3.5961 4.0230 2.1216
K 6.6128 4.0230 2.1216
Ga 5.1045 4.1852 6.0906
Ga 1.7015 1.1295 3.5951
O 1.7015 0.2124 1.6452
O 3.8338 1.1064 3.4278
O 5.1045 0.5877 5.5835
O 1.7015 1.5522 9.7032
O 6.3752 1.1064 3.4278
O 1.7015 2.3520 5.0865
O 1.7015 2.3615 2.0512
O 5.1045 3.7626 -0.0176
O 5.1045 2.9627 4.5992
O 1.7015 4.7270 4.1022
O 2.9722 4.2083 6.2578
O 5.1045 5.1023 8.0404
O 5.1045 2.9533 7.6345
O 0.4308 4.2083 6.2578
C 5.1045 3.9086 8.5708
C 1.7015 1.4062 1.1149
P 1.7015 3.8935 5.4291
P 5.1045 1.4212 4.2565
```

- Space-group type: P2_1/m (11)
- Formation energy without anion corrections: -1942 meV per atom

[16]
## KGa2SiC (PBE)

Data for KGa2SiC after structural relaxation.

Structure (extended XYZ):
```
5
Lattice="5.5624 0.0000 0.0000 0.0000 4.4741 0.0000 0.0000 0.0000 5.5624" Properties=species:S:1:pos:R:3 pbc="T T T"
Ga 0.0000 0.0000 2.7812
Ga 2.7812 0.0000 0.0000
K 0.0000 0.0000 0.0000
Si 2.7812 2.2370 2.7812
C 0.0000 2.2370 0.0000
```

- Space-group type: P4/mmm (123)
- Formation energy without anion corrections: 2282 meV per atom

[17]
## KGaSnC2 (PBE)

Data for KGaSnC2 after structural relaxation.

Structure (extended XYZ):
```
5
Lattice="-0.9073 -0.5098 -4.2272 1.5845 -5.0634 0.2705 -4.0550 -1.2146 1.0168" Properties=species:S:1:pos:R:3 pbc="T T T"
K -1.6889 -3.3939 -1.4699
C -0.4537 -0.2549 -2.1136
C -2.0275 -0.6073 0.5084
Ga 0.0000 0.0000 0.0000
Sn 0.7922 -2.5317 0.1353
```

- Energy of formation from the pure elements: 184 kJ per mole of atoms
- Space-group type: P4/mmm (123)

[18]
## KTiGaC2 (PBE)

Data for KTiGaC2 after structural relaxation.

Structure (extended XYZ):
```
5
Lattice="4.1892 0.0000 0.0000 0.0000 5.4489 0.0000 0.0000 0.0000 4.1892" Properties=species:S:1:pos:R:3 pbc="T T T"
Ti 0.0000 0.0000 0.0000
K 0.0000 2.7244 0.0000
C 2.0946 0.0000 0.0000
C 0.0000 0.0000 2.0946
Ga 2.0946 2.7244 2.0946
```

- Energy of formation from the pure elements: 152 kJ per mole of atoms
- Space-group type: P4/mmm (123)

[19]
## K2ZnGaC (PBE)

Data for K2ZnGaC after structural relaxation.

Structure (extended XYZ):
```
5
Lattice="-5.7477 2.2269 1.2058 -1.4772 -3.0528 -1.4034 0.1514 -2.6831 5.6769" Properties=species:S:1:pos:R:3 pbc="T T T"
C 0.0000 0.0000 0.0000
Ga -0.7386 -1.5264 -0.7017
K -2.8739 1.1134 0.6029
K 0.0757 -1.3415 2.8385
Zn -3.5367 -1.7545 2.7397
```

- Energy of formation from the pure elements: 51 kJ per mole of atoms
- Space-group type: P4/mmm (123)

[20]
## La6Ga2C (PBE)

Data for La6Ga2C after structural relaxation.

Structure (extended XYZ):
```
18
Lattice="-1.7677 -7.0537 0.0055 7.0451 -1.7659 -0.3574 0.5349 -0.1254 11.1623" Properties=species:S:1:pos:R:3 pbc="T T T"
La 1.2979 -2.1691 -0.0866
La 5.0735 -3.1720 5.3159
La 0.0268 -6.0453 1.6452
La 3.9795 -6.6505 -0.2654
La 3.8497 -6.1671 3.6266
La 0.7387 -5.7729 5.4944
La 5.7855 -2.8996 9.1652
La 1.7986 -2.7394 3.7633
La 0.3978 -6.1323 9.3870
La 1.9625 -2.7778 7.1838
La 4.0136 -6.2055 7.0470
La 5.4145 -2.8126 1.4233
Ga 2.7086 -4.4262 1.2830
Ga 0.3374 -0.0791 7.0401
Ga 0.1975 -0.0463 4.1222
Ga 3.1037 -4.5187 9.5274
C 2.9061 -4.4725 5.4052
C 0.0000 0.0000 0.0000
```

- Energy of formation from the pure elements: -13 kJ per mole of atoms
- Excess energy over the best structure of this formula in the dataset: 163 meV per atom
- Space-group type: P4_2/mnm (136)

Per-record calculated total energy, eV/atom: -6.237, -3.554, -7.329, -5.751, -2.987, -6.118, -6.753, -7.355, -3.060, -3.327, -1.583, -4.176, -6.005, -2.623, -6.489, -2.078, -3.407, -4.518, -2.610, -5.116
Per-record N(E_F), states/eV/atom: 1.364, 1.091, 0.676, 0.467, 1.087, 0.837, 1.196, 0.631, 0.638, 0.527, 1.069, 0.493, 1.190, 0.529, 0.000, 0.646, 0.535, 0.560, 0.523, 0.872
Per-record total magnetic moment, Bohr magnetons per cell: 0.0, 0.2, 0.0, 0.0, 1.0, 0.0, 0.0, 0.0, 0.0, 0.0, 1.5, 0.0, 0.0, 2.7, 0.1, 0.0, 0.0, 0.0, 0.0, 0.0